The following is a PBE-GGA calculation of an optimized crystal structure of RbIn2Ag4, from Alexandria.

Magnetic moment   0.000 μB per atom
N(E_F)   7.26 states/eV per cell
Raw total energy   -36.32 eV per cell

Unit cell a=7.6697 b=7.6697 c=7.6697 alpha=108.25 beta=108.25 gamma=111.95
Element x y z (fractional)
1 Rb 0.2500 0.2500 0.0000
2 Rb 0.7500 0.7500 0.0000
3 In 0.1514 0.6514 0.8027
4 In 0.3486 0.1514 0.5000
5 In 0.6514 0.8486 0.5000
6 In 0.8486 0.3486 0.1973
7 Ag 0.0192 0.8107 0.5000
8 Ag 0.1893 0.6893 0.2085
9 Ag 0.3107 0.5192 0.5000
10 Ag 0.4808 0.9808 0.7915
11 Ag 0.5192 0.0192 0.2085
12 Ag 0.6893 0.4808 0.5000
13 Ag 0.8107 0.3107 0.7915
14 Ag 0.9808 0.1893 0.5000